The following is a PBE-GGA calculation of LiPr2PaAs4 after structural relaxation, from Alexandria via LeMat-Bulk.

Lattice parameters (Å, degrees): 4.2526 7.1724 7.2510 109.04 90.00 90.00
Fractional positions:
Li (0.5000, 0.5000, 0.0000)
Pr (0.5000, 0.0000, 0.5000)
Pr (0.0000, 0.5000, 0.5000)
Pa (0.0000, 0.0000, 0.0000)
As (0.5000, 0.2418, 0.2314)
As (0.5000, 0.7582, 0.7686)
As (0.0000, 0.2430, 0.7659)
As (0.0000, 0.7570, 0.2341)

- Spin magnetization: 0.00 μB per cell
- N(E_F): 0.35 states/eV/atom
- E_form: -1.075 eV/atom

The following is a PBE-GGA calculation of LiPuPa2As4 after structural relaxation, from Alexandria via LeMat-Bulk.

Lattice parameters (Å, degrees): 4.1490 6.9848 7.1554 69.92 90.00 90.00
Each line ends with the local moment (μB).
Fractional positions:
Li (0.0000, 0.5000, 0.5000)  0.00
Pu (0.5000, 0.5000, 0.0000)  5.20
Pa (0.0000, 0.0000, 0.0000)  0.37
Pa (0.5000, 0.0000, 0.5000)  0.46
As (0.0000, 0.7535, 0.7457)  -0.05
As (0.0000, 0.2465, 0.2543)  -0.05
As (0.5000, 0.7577, 0.2499)  -0.03
As (0.5000, 0.2423, 0.7501)  -0.03

- Spin magnetization: 6.40 μB per cell
- N(E_F): 1.81 states/eV/atom
- E_form: -0.905 eV/atom

The following is a PBE-GGA calculation of LiPaAsS after structural relaxation, from Alexandria via LeMat-Bulk.

Lattice parameters (Å, degrees): 4.1442 4.1442 9.2456 90.00 90.00 90.00
Each line ends with the local moment (μB).
Fractional positions:
Li (0.5000, 0.5000, 0.0000)  0.01
Li (0.0000, 0.0000, 0.0000)  0.01
Pa (0.5000, 0.0000, 0.6924)  0.87
Pa (0.0000, 0.5000, 0.3076)  0.87
As (0.0000, 0.5000, 0.8215)  -0.04
As (0.5000, 0.0000, 0.1785)  -0.04
S (0.0000, 0.0000, 0.5000)  -0.04
S (0.5000, 0.5000, 0.5000)  -0.04

- Uncorrected formation energy: -1.024 eV per atom
- Spin magnetization: 1.92 μB per cell
- N(E_F): 1.24 states/eV/atom